--- 1 ---
First-principles (PBE-GGA) data for Th2GeSe after structural relaxation, as listed in Alexandria via LeMat-Bulk.

Lattice parameters (Å, degrees): 7.312 7.312 7.312 34.15 34.15 34.15
Sites, in units of the cell vectors:
Th  0.247  0.247  0.247
Th  0.753  0.753  0.753
Ge  0.500  0.500  0.500
Se  0.000  0.000  0.000

Output
- space-group type = R-3m
- DOS at the Fermi energy (states/eV/cell) = 2.64


--- 2 ---
First-principles (PBE-GGA) data for Th2GeSe after structural relaxation, as listed in Alexandria via LeMat-Bulk.

Lattice parameters (Å, degrees): 4.156 4.156 7.328 90.00 90.00 120.00
Sites, in units of the cell vectors:
Th  0.333  0.667  0.240
Th  0.667  0.333  0.760
Ge  0.000  0.000  0.000
Se  0.000  0.000  0.500

Output
- space-group type = P-3m1
- DOS at the Fermi energy (states/eV/cell) = 2.62


If you had to name the least stable structure above, which would it be? It would be 2.